11
Lattice="-4.2228 4.2265 0.1961 -5.2116 1.9641 -7.2211 -8.0654 -4.5853 -1.1846" Properties=species:S:1:pos:R:3 comment="PmPr8Sc2 | Alexandria via LeMat-Bulk | GGA-PBE | optimized geometry" mass_density_g_cm3=5.992 magnetic_moment_mub_per_atom=0.00 delta_e_f_ev_per_atom=0.154 final_energy_ry_per_atom=-0.3606 pbc="T T T"
Pm -2.1114 2.1132 0.0981
Pr -5.9437 2.5896 -0.8194
Pr -11.3820 0.6833 -3.1713
Pr -3.4281 2.0679 -2.9691
Pr -9.5986 1.7569 -6.1119
Pr -7.9012 -0.1515 -2.0977
Pr -6.0063 4.1227 -4.0558
Pr -6.1178 0.9220 -5.0382
Pr -11.5560 -0.9843 -7.3901
Sc -4.6839 -1.1370 -2.6872
Sc -8.5931 -1.4842 -5.7185